Entry 1:
A geometry-optimized SnSb2Pt structure. Source: the Alexandria database, functional PBE.

Computed properties:
Formation energy without anion corrections in meV per atom: -104
Space-group type: I-42d

The structure in extended XYZ format:
```
8
Lattice="-3.174 3.174 6.358 3.174 -3.174 6.358 3.174 3.174 -6.358" Properties=species:S:1:pos:R:3 pbc="T T T"
Sn 0.000 0.000 0.000
Sn 0.000 3.174 3.179
Sb 1.587 -1.299 4.769
Sb 1.875 1.587 1.590
Sb 1.587 4.474 -1.590
Sb 1.299 1.587 7.948
Pt 3.174 0.000 3.179
Pt 0.000 0.000 6.358
```

---

Entry 2:
A geometry-optimized TaSnRh2C structure. Source: the Alexandria database, functional PBE.

Computed properties:
E_form in kJ per mole of atoms: 208
Space-group type: P4/mmm

The structure in extended XYZ format:
```
5
Lattice="4.691 0.000 0.000 0.000 4.691 0.000 0.000 0.000 5.451" Properties=species:S:1:pos:R:3 pbc="T T T"
Ta 0.000 0.000 0.000
Sn 0.000 0.000 2.725
Rh 0.000 2.345 0.000
Rh 2.345 0.000 0.000
C 2.345 2.345 2.725
```

---

Entry 3:
A geometry-optimized AcPr2ScSe4 structure. Source: the Alexandria database, functional PBE.

Computed properties:
Formation energy without anion corrections in meV per atom: -1725
Space-group type: P2/m

The structure in extended XYZ format:
```
8
Lattice="7.327 0.000 0.000 0.000 4.169 0.000 -2.366 0.000 7.055" Properties=species:S:1:pos:R:3 pbc="T T T"
Ac 0.000 0.000 0.000
Pr 2.481 0.000 3.528
Pr 3.664 2.085 0.000
Sc -1.183 2.085 3.528
Se -0.020 0.000 5.107
Se 1.165 2.085 1.905
Se 3.796 2.085 5.151
Se 4.981 0.000 1.948
```

---

Entry 4:
A geometry-optimized Nd2Ho2Al3 structure. Source: the Alexandria database, functional PBE.

Computed properties:
E_form in kJ per mole of atoms: -28
Space-group type: Cmmm

The structure in extended XYZ format:
```
7
Lattice="1.800 -14.331 0.000 1.800 14.331 0.000 0.000 0.000 3.581" Properties=species:S:1:pos:R:3 pbc="T T T"
Nd 1.800 8.872 0.000
Nd 1.800 -8.872 0.000
Ho 1.800 12.564 0.000
Ho 1.800 -12.564 0.000
Al 1.800 3.566 1.790
Al 1.800 0.000 1.790
Al 1.800 -3.566 1.790
```

---

Entry 5:
A geometry-optimized PrThSc4 structure. Source: the Alexandria database, functional PBE.

Computed properties:
E_form in kJ per mole of atoms: 6
Space-group type: C2/m

The structure in extended XYZ format:
```
6
Lattice="4.638 -2.679 0.000 4.638 2.679 0.000 -0.007 0.000 6.682" Properties=species:S:1:pos:R:3 pbc="T T T"
Pr 0.000 0.000 0.000
Th -0.003 0.000 3.341
Sc 3.090 0.000 1.704
Sc 3.087 0.000 4.982
Sc 6.181 0.000 1.700
Sc 6.179 0.000 4.978
```

---

Entry 6:
A geometry-optimized Li4Ac2TlGe3 structure. Source: the Alexandria database, functional PBE.

Computed properties:
E_form in kJ per mole of atoms: -44
Space-group type: P-4m2

The structure in extended XYZ format:
```
10
Lattice="4.508 0.000 0.000 0.000 4.508 0.000 0.000 0.000 10.916" Properties=species:S:1:pos:R:3 pbc="T T T"
Li 0.000 0.000 0.000
Li 0.000 2.254 3.923
Li 2.254 0.000 6.993
Li 2.254 2.254 0.000
Ac 0.000 2.254 8.420
Ac 2.254 0.000 2.496
Tl 2.254 2.254 5.458
Ge 0.000 0.000 5.458
Ge 0.000 2.254 1.379
Ge 2.254 0.000 9.537
```

---

Here are the calculated magnetization numbers, same order: 0.0; 1.0; 0.0; 0.0; 0.0; 0.0 (μB per formula unit).